(1)
Here is crystalline BaY2CrC at its relaxed geometry from the Alexandria database. Energies are from PBE.

```
BaY2CrC
1.0
5.3396 0.0000 0.0000
0.0000 5.3396 0.0000
0.0000 0.0000 4.0559
Y C Ba Cr
2 1 1 1
direct
0.0000 0.5000 0.0000 Y
0.5000 0.0000 0.0000 Y
0.0000 0.0000 0.0000 C
0.5000 0.5000 0.5000 Ba
0.0000 0.0000 0.5000 Cr
```

Results
E = -6.387 eV/atom
V = 23.1 Å³/atom

=====

(2)
Here is crystalline BaZr2CrC at its relaxed geometry from the Alexandria database. Energies are from PBE.

```
BaZr2CrC
1.0
-0.8711 -4.4811 -2.3514
3.2830 0.5103 -2.1887
2.7668 -2.4195 3.5860
Cr Zr Ba C
1 2 1 1
direct
0.0000 0.0000 0.0000 Cr
0.5000 0.0000 0.0000 Zr
0.0000 0.0000 0.5000 Zr
0.5000 0.5000 0.5000 Ba
0.0000 0.5000 0.0000 C
```

Results
E = -6.508 eV/atom
V = 21.0 Å³/atom

=====

(3)
Here is crystalline CsBaC3 at its relaxed geometry from the Alexandria database. Energies are from PBE.

```
CsBaC3
1.0
-3.6002 2.0073 -2.4606
-2.8422 -3.6958 1.1437
-1.4161 2.3145 3.9601
C Ba Cs
3 1 1
direct
0.5000 0.0000 0.0000 C
0.0000 0.5000 0.0000 C
0.0000 0.0000 0.5000 C
0.5000 0.5000 0.5000 Ba
0.0000 0.0000 0.0000 Cs
```

Results
E = -2.979 eV/atom
V = 22.1 Å³/atom

=====

(4)
Here is crystalline Cs2Ba4C at its relaxed geometry from the Alexandria database. Energies are from PBE.

```
Cs2Ba4C
1.0
6.1290 0.0000 0.0000
0.0000 6.1290 0.0000
3.0645 3.0645 12.6985
Ba Cs C
4 2 1
direct
0.8955 0.8955 0.2089 Ba
0.1045 0.1045 0.7911 Ba
0.5000 0.0000 0.0000 Ba
0.0000 0.5000 0.0000 Ba
0.3135 0.3135 0.3730 Cs
0.6865 0.6865 0.6270 Cs
0.0000 0.0000 0.0000 C
```

Results
E = -2.326 eV/atom
V = 68.1 Å³/atom

=====

(5)
Here is crystalline Cs2BaCI6 at its relaxed geometry from the Alexandria database. Energies are from PBE.

```
Cs2BaCI6
1.0
-2.5155 5.1104 6.4504
5.7967 -3.6874 5.1820
5.7715 4.8554 4.1440
I Cs C Ba
6 2 1 1
direct
0.7221 0.2779 0.0000 I
0.7221 0.7221 0.0000 I
0.7220 0.7220 0.5559 I
0.2779 0.7221 0.0000 I
0.2779 0.2779 0.0000 I
0.2780 0.2780 0.4441 I
0.2500 0.7500 0.5000 Cs
0.7500 0.2500 0.5000 Cs
0.5000 0.5000 0.0000 C
0.0000 0.0000 0.0000 Ba
```

Results
E = -2.814 eV/atom
V = 45.1 Å³/atom

=====

(6)
Here is crystalline CsBa2InC at its relaxed geometry from the Alexandria database. Energies are from PBE.

```
CsBa2InC
1.0
6.6011 0.0000 0.0000
0.0000 4.7529 0.0000
0.0000 0.0000 6.6011
Ba Cs C In
2 1 1 1
direct
0.0000 0.0000 0.5000 Ba
0.5000 0.0000 0.0000 Ba
0.0000 0.0000 0.0000 Cs
0.0000 0.5000 0.0000 C
0.5000 0.5000 0.5000 In
```

Results
E = -2.021 eV/atom
V = 41.4 Å³/atom

=====

(7)
Here is crystalline CsBa2NaC at its relaxed geometry from the Alexandria database. Energies are from PBE.

```
CsBa2NaC
1.0
-4.7431 0.8917 -3.1172
-2.9619 -3.4384 3.5232
-1.6394 5.6137 4.1004
Ba Cs Na C
2 1 1 1
direct
0.0000 0.5000 0.0000 Ba
0.5000 0.0000 0.0000 Ba
0.0000 0.0000 0.5000 Cs
0.5000 0.5000 0.5000 Na
0.0000 0.0000 0.0000 C
```

Results
E = -2.471 eV/atom
V = 47.2 Å³/atom

=====

(8)
Here is crystalline CsBaNaC2 at its relaxed geometry from the Alexandria database. Energies are from PBE.

```
CsBaNaC2
1.0
5.2363 0.0000 0.0000
0.0000 6.1685 0.0000
0.0000 0.0000 5.2363
Cs Na C Ba
1 1 2 1
direct
0.0000 0.0000 0.0000 Cs
0.5000 0.5000 0.5000 Na
0.5000 0.0000 0.0000 C
0.0000 0.0000 0.5000 C
0.0000 0.5000 0.0000 Ba
```

Results
E = -1.972 eV/atom
V = 33.8 Å³/atom

=====

(9)
Here is crystalline Cs2Ba2C3O9 at its relaxed geometry from the Alexandria database. Energies are from PBE.

```
Cs2Ba2C3O9
1.0
9.1046 0.0000 0.0000
-3.0349 8.5839 0.0000
-3.0349 -4.2919 7.4339
C Cs O Ba
6 4 18 4
direct
0.3417 0.2500 0.5917 C
0.7500 0.0917 0.3417 C
0.9083 0.6583 0.2500 C
0.5917 0.8417 0.7500 C
0.2500 0.4083 0.1583 C
0.1583 0.7500 0.9083 C
0.0000 0.0000 0.6203 Cs
0.8797 0.3797 0.8797 Cs
0.6203 0.5000 0.5000 Cs
0.5000 0.1203 0.0000 Cs
0.2500 0.2837 0.0337 O
0.2366 0.8731 0.0758 O
0.6608 0.9242 0.2973 O
0.7837 0.5337 0.2500 O
0.0337 0.7500 0.7837 O
0.0758 0.7366 0.3731 O
0.7163 0.9663 0.7500 O
0.3731 0.5758 0.2366 O
0.4663 0.2500 0.7163 O
0.2634 0.3392 0.6366 O
0.8634 0.7027 0.1269 O
0.2027 0.6269 0.8634 O
0.2973 0.1608 0.4242 O
0.8392 0.1366 0.2634 O
0.6366 0.7634 0.8392 O
0.7500 0.2163 0.4663 O
0.1269 0.3634 0.2027 O
0.4242 0.7973 0.6608 O
0.4165 0.9165 0.4165 Ba
0.5000 0.5835 0.0000 Ba
0.0835 0.5000 0.5000 Ba
0.0000 0.0000 0.0835 Ba
```

Results
E = -6.931 eV/atom
V = 18.2 Å³/atom

=====

(10)
Here is crystalline Cs2BaSbC at its relaxed geometry from the Alexandria database. Energies are from PBE.

```
Cs2BaSbC
1.0
7.4416 0.0000 0.0000
0.0000 6.6372 0.0000
0.0000 0.0000 7.4416
C Ba Cs Sb
1 1 2 1
direct
0.5000 0.5000 0.5000 C
0.0000 0.5000 0.0000 Ba
0.5000 0.0000 0.0000 Cs
0.0000 0.0000 0.5000 Cs
0.0000 0.0000 0.0000 Sb
```

Results
E = -2.473 eV/atom
V = 73.5 Å³/atom

=====

(11)
Here is crystalline Cs2BaSbC at its relaxed geometry from the Alexandria database. Energies are from PBE.

```
Cs2BaSbC
1.0
7.8037 0.0000 0.0000
0.0000 4.3989 0.0000
0.0000 0.0000 7.8037
Cs Sb Ba C
2 1 1 1
direct
0.0000 0.0000 0.5000 Cs
0.5000 0.0000 0.0000 Cs
0.0000 0.0000 0.0000 Sb
0.5000 0.5000 0.5000 Ba
0.0000 0.5000 0.0000 C
```

Results
E = -2.473 eV/atom
V = 53.6 Å³/atom

=====

(12)
Here is crystalline Ba2CuC at its relaxed geometry from the Alexandria database. Energies are from PBE.

```
Ba2CuC
1.0
7.8924 0.0000 0.0000
0.0000 7.8924 0.0000
3.9462 3.9462 4.3510
Ba C Cu
4 2 2
direct
0.3750 0.4376 0.7500 Ba
0.8750 0.8124 0.7500 Ba
0.1876 0.6250 0.2500 Ba
0.5624 0.1250 0.2500 Ba
0.5000 0.5000 0.0000 C
0.2500 0.7500 0.5000 C
0.7500 0.2500 0.5000 Cu
0.0000 0.0000 0.0000 Cu
```

Results
E = -3.517 eV/atom
V = 33.9 Å³/atom

=====

(13)
Here is crystalline BaCuCO3F2 at its relaxed geometry from the Alexandria database. Energies are from PBE.

```
BaCuCO3F2
1.0
-0.3738 -4.1035 2.7950
8.1015 -2.1178 -2.0258
3.2416 4.9850 7.7523
O Ba F C Cu
12 4 8 4 4
direct
0.9501 0.8845 0.7500 O
0.0499 0.1155 0.2500 O
0.2880 0.0572 0.7500 O
0.0499 0.3845 0.7500 O
0.3793 0.6969 0.2500 O
0.2880 0.4428 0.2500 O
0.6207 0.1969 0.2500 O
0.7120 0.5572 0.7500 O
0.7120 0.9428 0.2500 O
0.3793 0.8031 0.7500 O
0.6207 0.3031 0.7500 O
0.9501 0.6155 0.2500 O
0.2745 0.2500 0.0000 Ba
0.7255 0.7500 0.5000 Ba
0.7255 0.7500 0.0000 Ba
0.2745 0.2500 0.5000 Ba
0.7588 0.0852 0.5504 F
0.2412 0.5852 0.9496 F
0.2412 0.9148 0.0504 F
0.7588 0.0852 0.9496 F
0.7588 0.4148 0.4496 F
0.7588 0.4148 0.0504 F
0.2412 0.9148 0.4496 F
0.2412 0.5852 0.5504 F
0.7925 0.4165 0.7500 C
0.7925 0.0835 0.2500 C
0.2075 0.5835 0.2500 C
0.2075 0.9165 0.7500 C
0.2438 0.9129 0.2500 Cu
0.7562 0.0871 0.7500 Cu
0.7562 0.4129 0.2500 Cu
0.2438 0.5871 0.7500 Cu
```

Results
E = -6.308 eV/atom
V = 13.1 Å³/atom

=====

(14)
Here is crystalline Ba2FeCuC at its relaxed geometry from the Alexandria database. Energies are from PBE.

```
Ba2FeCuC
1.0
-0.7972 2.6003 5.2857
-0.1046 -3.9500 1.9274
5.8890 0.2238 0.7781
Ba Fe C Cu
2 1 1 1
direct
0.0000 0.0000 0.5000 Ba
0.5000 0.0000 0.0000 Ba
0.0000 0.5000 0.0000 Fe
0.5000 0.5000 0.5000 C
0.0000 0.0000 0.0000 Cu
```

Results
E = -3.603 eV/atom
V = 31.1 Å³/atom

=====

(15)
Here is crystalline BaGaCuC2 at its relaxed geometry from the Alexandria database. Energies are from PBE.

```
BaGaCuC2
1.0
4.0799 0.0000 0.0000
0.0000 6.3398 0.0000
0.0000 0.0000 4.0799
Ga Ba C Cu
1 1 2 1
direct
0.0000 0.0000 0.0000 Ga
0.0000 0.5000 0.0000 Ba
0.0000 0.0000 0.5000 C
0.5000 0.0000 0.0000 C
0.5000 0.5000 0.5000 Cu
```

Results
E = -3.603 eV/atom
V = 21.1 Å³/atom

=====

(16)
Here is crystalline BaCuH12C4O14 at its relaxed geometry from the Alexandria database. Energies are from PBE.

```
BaCuH12C4O14
1.0
-2.4863 -3.4001 -8.8495
-1.4929 -9.6819 -0.2955
-15.7730 0.0747 1.8867
O C H Ba Cu
56 16 48 4 4
direct
0.1776 0.3516 0.8631 O
0.8169 0.3822 0.2515 O
0.8224 0.6484 0.1369 O
0.0547 0.1241 0.3040 O
0.8733 0.5260 0.9174 O
0.8759 0.9453 0.1960 O
0.9933 0.0752 0.1091 O
0.8711 0.7212 0.3305 O
0.0752 0.9933 0.6091 O
0.3144 0.5056 0.5508 O
0.1334 0.2412 0.9921 O
0.4234 0.4908 0.3473 O
0.1267 0.4740 0.0826 O
0.5595 0.9047 0.1614 O
0.0953 0.4405 0.3386 O
0.5766 0.5092 0.6527 O
0.6943 0.1466 0.6910 O
0.6311 0.2335 0.4429 O
0.6310 0.0089 0.0359 O
0.0067 0.9248 0.8909 O
0.6178 0.1831 0.2485 O
0.3689 0.7665 0.5571 O
0.9248 0.0067 0.3909 O
0.1241 0.0547 0.8040 O
0.2788 0.1289 0.1695 O
0.8666 0.7588 0.0079 O
0.7212 0.8711 0.8305 O
0.3822 0.8169 0.7515 O
0.8363 0.2521 0.6057 O
0.9453 0.8759 0.6960 O
0.2412 0.1334 0.4921 O
0.3516 0.1776 0.3631 O
0.6484 0.8224 0.6369 O
0.1637 0.7479 0.3943 O
0.7665 0.3689 0.0571 O
0.2335 0.6311 0.9429 O
0.5260 0.8733 0.4174 O
0.3690 0.9911 0.9641 O
0.3057 0.8534 0.3090 O
0.7588 0.8666 0.5079 O
0.9047 0.5595 0.6614 O
0.0089 0.6310 0.5359 O
0.9911 0.3690 0.4641 O
0.1831 0.6178 0.7485 O
0.8534 0.3057 0.8090 O
0.4740 0.1267 0.5826 O
0.5092 0.5766 0.1527 O
0.2521 0.8363 0.1057 O
0.1289 0.2788 0.6695 O
0.1466 0.6943 0.1910 O
0.6856 0.4944 0.4492 O
0.7479 0.1637 0.8943 O
0.5056 0.3144 0.0508 O
0.4908 0.4234 0.8473 O
0.4405 0.0953 0.8386 O
0.4944 0.6856 0.9492 O
0.7567 0.7894 0.5810 C
0.3526 0.0987 0.9043 C
0.6474 0.9013 0.0957 C
0.9013 0.6474 0.5957 C
0.8596 0.1852 0.8490 C
0.2433 0.2106 0.4190 C
0.0987 0.3526 0.4043 C
0.1852 0.8596 0.3490 C
0.0108 0.0446 0.8468 C
0.2106 0.2433 0.9190 C
0.1404 0.8148 0.1510 C
0.7894 0.7567 0.0810 C
0.8148 0.1404 0.6510 C
0.0446 0.0108 0.3468 C
0.9554 0.9892 0.6532 C
0.9892 0.9554 0.1532 C
0.9545 0.6200 0.3282 H
0.2894 0.8974 0.7742 H
0.5931 0.5250 0.1111 H
0.3902 0.1234 0.5564 H
0.4582 0.7941 0.9552 H
0.4069 0.4750 0.8889 H
0.2674 0.8424 0.5712 H
0.5982 0.3336 0.0450 H
0.2059 0.5418 0.5448 H
0.4157 0.8122 0.5078 H
0.4379 0.6657 0.1213 H
0.6657 0.4379 0.6213 H
0.3336 0.5982 0.5450 H
0.9790 0.4673 0.8962 H
0.6294 0.1823 0.3086 H
0.1878 0.5843 0.9922 H
0.8122 0.4157 0.0078 H
0.5418 0.2059 0.0448 H
0.7826 0.8920 0.7792 H
0.7326 0.1576 0.4288 H
0.4018 0.6664 0.9550 H
0.7106 0.1026 0.2258 H
0.1823 0.6294 0.8086 H
0.8974 0.2894 0.2742 H
0.8920 0.7826 0.2792 H
0.3343 0.5621 0.3787 H
0.2174 0.1080 0.2208 H
0.1080 0.2174 0.7208 H
0.6200 0.9545 0.8282 H
0.1234 0.3902 0.0564 H
0.1576 0.7326 0.9288 H
0.7941 0.4582 0.4552 H
0.1026 0.7106 0.7258 H
0.6664 0.4018 0.4550 H
0.5250 0.5931 0.6111 H
0.4750 0.4069 0.3889 H
0.0210 0.5327 0.1038 H
0.0455 0.3800 0.6718 H
0.3800 0.0455 0.1718 H
0.8424 0.2674 0.0712 H
0.4673 0.9790 0.3962 H
0.8766 0.6098 0.9436 H
0.5843 0.1878 0.4922 H
0.5327 0.0210 0.6038 H
0.3706 0.8177 0.6914 H
0.8177 0.3706 0.1914 H
0.6098 0.8766 0.4436 H
0.5621 0.3343 0.8787 H
0.3389 0.3862 0.2083 Ba
0.6138 0.6611 0.2917 Ba
0.6611 0.6138 0.7917 Ba
0.3862 0.3389 0.7083 Ba
0.8016 0.9577 0.9455 Cu
0.1984 0.0423 0.0545 Cu
0.9577 0.8016 0.4455 Cu
0.0423 0.1984 0.5545 Cu
```

Results
E = -5.966 eV/atom
V = 10.7 Å³/atom

=====

(17)
Here is crystalline Ba2CuIrC at its relaxed geometry from the Alexandria database. Energies are from PBE.

```
Ba2CuIrC
1.0
-5.3252 2.4069 0.3850
-1.6945 -4.3205 3.5723
1.1614 2.0791 3.0655
Ba C Cu Ir
2 1 1 1
direct
0.0000 0.5000 0.0000 Ba
0.5000 0.0000 0.0000 Ba
0.0000 0.0000 0.0000 C
0.5000 0.5000 0.5000 Cu
0.0000 0.0000 0.5000 Ir
```

Results
E = -5.206 eV/atom
V = 26.6 Å³/atom

=====

(18)
Here is crystalline Ba2CuCN2O2 at its relaxed geometry from the Alexandria database. Energies are from PBE.

```
Ba2CuCN2O2
1.0
-0.0395 -1.4020 3.7008
-3.5157 -1.6867 -0.6765
3.9358 -7.1362 -2.6615
Ba C Cu N O
2 1 1 2 2
direct
0.5000 0.5000 0.7232 Ba
0.5000 0.5000 0.2768 Ba
0.0000 0.0000 0.0000 C
0.0000 0.0000 0.5000 Cu
0.0000 0.0000 0.1452 N
0.0000 0.0000 0.8548 N
0.5000 0.0000 0.5000 O
0.0000 0.5000 0.5000 O
```

Results
E = -6.673 eV/atom
V = 16.8 Å³/atom